## PmSm4N4 (PBE)

Data for a relaxed structure of PmSm4N4.

Properties
Formation energy from raw total energies: -0.7118 eV/atom
Total moment: 2.40 μB/f.u.
Calculated total energy: -7.04 eV/atom
DOS at the Fermi energy: 4.662 states/eV per cell

a = 5.9012 Å, b = 5.9012 Å, c = 6.9002 Å
α = 115.32°, β = 115.32°, γ = 90.00°
Fractional positions:
N1 0.3588 0.8784 0.2372
N2 0.8784 0.3588 0.2372
N3 0.6412 0.6412 0.7628
N4 0.1216 0.1216 0.7628
Sm1 0.0000 0.5000 0.0000
Sm2 0.5000 0.0000 0.0000
Sm3 0.2872 0.2872 0.5743
Sm4 0.7128 0.7128 0.4257
Pm1 0.0000 0.0000 0.0000

## CsLa2Cu2O6 (PBE)

Data for a relaxed structure of CsLa2Cu2O6.

Properties
Formation energy from raw total energies: -1.8450 eV/atom
Total moment: 1.00 μB/f.u.
Calculated total energy: -6.27 eV/atom
DOS at the Fermi energy: 5.972 states/eV per cell

a = 6.5913 Å, b = 6.7357 Å, c = 6.8291 Å
α = 118.97°, β = 90.03°, γ = 62.18°
Fractional positions:
O1 0.8744 0.1104 0.3880
O2 0.3982 0.6361 0.8947
O3 0.0380 0.5559 0.8308
O4 0.1256 0.8896 0.6120
O5 0.9620 0.4441 0.1692
O6 0.6018 0.3639 0.1053
Cs1 0.5000 0.0000 0.5000
Cu1 0.1531 0.7229 0.7602
Cu2 0.8469 0.2771 0.2398
La1 0.8197 0.3651 0.8155
La2 0.1803 0.6349 0.1845

## BeRh2 (PBE)

Data for a relaxed structure of BeRh2.

Properties
Total moment: 0.00 μB/f.u.
Calculated total energy: -6.34 eV/atom
DOS at the Fermi energy: 7.036 states/eV per cell

a = 6.3918 Å, b = 6.3918 Å, c = 4.3087 Å
α = 90.00°, β = 90.00°, γ = 155.02°
Fractional positions:
Be1 0.7774 0.2226 0.7500
Be2 0.2226 0.7774 0.2500
Rh1 0.4314 0.5686 0.7500
Rh2 0.1282 0.8718 0.7500
Rh3 0.8718 0.1282 0.2500
Rh4 0.5686 0.4314 0.2500

> Which of these has the lowest DOS at the Fermi energy?

PmSm4N4

> Which of these has the lowest total moment?

BeRh2